Entry 1:
Computed, not measured: Re2Ag2I after structural relaxation at the PBE-GGA level of DFT.

The structure in extended XYZ format:
```
5
Lattice="-1.958 1.958 6.466 1.958 -1.958 6.466 1.958 1.958 -6.466" Properties=species:S:1:pos:R:3 pbc="T T T"
Re 0.000 0.000 1.161
Re 0.000 0.000 11.770
Ag 1.958 0.000 3.233
Ag 0.000 1.958 3.233
I 0.000 0.000 6.466
```

Results
The distance to the lowest polymorph of the same formula comes out at 1.169 eV per formula unit. The calculation puts the calculated total energy at -5.081 eV/atom. For the raw formation energy, the calculation gives 1.35 eV/atom. The magnetization is 0.000 μB per atom. The mass density comes out at 11.98 g/cm3.

Entry 2:
Computed, not measured: KTa2BW after structural relaxation at the PBE-GGA level of DFT.

The structure in extended XYZ format:
```
5
Lattice="4.647 0.000 0.000 0.000 4.647 0.000 0.000 0.000 4.250" Properties=species:S:1:pos:R:3 pbc="T T T"
K 0.000 0.000 0.000
Ta 0.000 2.324 2.125
Ta 2.324 0.000 2.125
B 2.324 2.324 2.125
W 2.324 2.324 0.000
```

Results
The calculation puts the calculated total energy at -7.751 eV/atom. The magnetization is 0.000 μB per atom. The energy relative to the elements is 1136 meV/atom. The mass density comes out at 10.78 g/cm3.

Entry 3:
Computed, not measured: GaBAsSe2 after structural relaxation at the PBE-GGA level of DFT.

The structure in extended XYZ format:
```
5
Lattice="4.771 0.000 0.000 0.000 4.771 0.000 0.000 0.000 4.165" Properties=species:S:1:pos:R:3 pbc="T T T"
Ga 0.000 0.000 0.000
B 2.385 2.385 2.083
As 2.385 2.385 0.000
Se 0.000 2.385 2.083
Se 2.385 0.000 2.083
```

Results
The distance to the lowest polymorph of the same formula comes out at 0.000 eV per formula unit. The calculation puts the calculated total energy at -3.696 eV/atom. For the raw formation energy, the calculation gives 0.57 eV/atom. The magnetization is 0.000 μB per atom. The mass density comes out at 5.49 g/cm3.

Entry 4:
Computed, not measured: Pm2Er5Tm4 after structural relaxation at the PBE-GGA level of DFT.

The structure in extended XYZ format:
```
11
Lattice="-1.731 4.461 11.526 1.731 -4.461 11.526 1.731 4.461 -11.526" Properties=species:S:1:pos:R:3 pbc="T T T"
Pm 0.000 0.000 5.361
Pm 0.000 0.000 17.692
Er 1.731 2.722 -3.252
Er 1.731 2.722 3.252
Er 0.000 4.461 0.000
Er 0.000 1.739 8.274
Er 0.000 1.739 14.779
Tm 0.000 0.000 2.235
Tm 1.731 1.676 0.000
Tm 0.000 2.784 11.526
Tm 0.000 0.000 20.818
```

Results
The distance to the lowest polymorph of the same formula comes out at 2.031 eV per formula unit. The calculation puts the calculated total energy at -4.356 eV/atom. The magnetization is 0.000 μB per atom. The energy relative to the elements is 208 meV/atom. The mass density comes out at 8.41 g/cm3.

Entry 5:
Computed, not measured: Th3P2Ir9 after structural relaxation at the PBE-GGA level of DFT.

The structure in extended XYZ format:
```
14
Lattice="6.415 0.000 0.000 -3.207 5.555 0.000 0.000 0.000 7.075" Properties=species:S:1:pos:R:3 pbc="T T T"
Th 0.000 0.000 0.000
Th 0.000 3.704 2.426
Th 3.207 1.852 4.649
P 0.000 3.704 5.532
P 3.207 1.852 1.543
Ir -1.604 2.778 0.000
Ir 0.000 1.627 4.680
Ir -1.799 4.742 4.680
Ir 1.409 0.813 2.395
Ir 3.207 0.000 0.000
Ir 1.604 2.778 0.000
Ir 1.799 4.742 4.680
Ir 5.006 0.813 2.395
Ir 3.207 3.929 2.395
```

Results
The calculation puts the calculated total energy at -8.731 eV/atom. The magnetization is 0.000 μB per atom. The energy relative to the elements is -672 meV/atom. The mass density comes out at 16.39 g/cm3.

Entry 6:
Computed, not measured: MnTl2Te after structural relaxation at the PBE-GGA level of DFT.

The structure in extended XYZ format:
```
4
Lattice="3.686 0.000 0.000 0.000 3.686 0.000 0.000 0.000 8.019" Properties=species:S:1:pos:R:3 pbc="T T T"
Mn 0.000 0.000 0.000
Tl 0.000 0.000 3.654
Tl 1.843 1.843 6.004
Te 1.843 1.843 1.192
```

Results
The distance to the lowest polymorph of the same formula comes out at 0.128 eV per formula unit. The calculation puts the calculated total energy at -4.150 eV/atom. For the raw formation energy, the calculation gives 0.11 eV/atom. The magnetization is 1.058 μB per atom. The mass density comes out at 9.01 g/cm3.

Entry 7:
Computed, not measured: NaGeSe2 after structural relaxation at the PBE-GGA level of DFT.

The structure in extended XYZ format:
```
4
Lattice="1.589 0.917 10.147 -1.589 0.917 10.147 0.000 -1.835 10.147" Properties=species:S:1:pos:R:3 pbc="T T T"
Na 0.000 0.000 0.000
Ge 0.000 0.000 15.220
Se 0.000 0.000 12.423
Se 0.000 0.000 18.018
```

Results
The calculation puts the calculated total energy at -3.246 eV/atom. For the raw formation energy, the calculation gives -0.02 eV/atom. The magnetization is 0.000 μB per atom. The mass density comes out at 4.74 g/cm3.

Entry 8:
Computed, not measured: La2Al3CuPd4 after structural relaxation at the PBE-GGA level of DFT.

The structure in extended XYZ format:
```
10
Lattice="4.366 0.000 0.000 0.000 4.366 0.000 0.000 0.000 10.350" Properties=species:S:1:pos:R:3 pbc="T T T"
La 0.000 2.183 2.535
La 2.183 0.000 7.815
Al 0.000 0.000 0.000
Al 0.000 2.183 6.437
Al 2.183 0.000 3.912
Cu 2.183 2.183 0.000
Pd 0.000 0.000 5.175
Pd 0.000 2.183 8.960
Pd 2.183 0.000 1.390
Pd 2.183 2.183 5.175
```

Results
The calculation puts the calculated total energy at -5.366 eV/atom. The magnetization is 0.000 μB per atom. The energy relative to the elements is -771 meV/atom. The mass density comes out at 7.14 g/cm3.

Entry 9:
Computed, not measured: Ta4N3 after structural relaxation at the PBE-GGA level of DFT.

The structure in extended XYZ format:
```
7
Lattice="-2.203 2.203 4.313 2.203 -2.203 4.313 2.203 2.203 -4.313" Properties=species:S:1:pos:R:3 pbc="T T T"
Ta 2.203 0.000 0.000
Ta 0.000 0.000 2.041
Ta 0.000 2.203 0.000
Ta 0.000 0.000 6.585
N 2.203 0.000 2.156
N 0.000 0.000 4.313
N 0.000 2.203 2.156
```

Results
The calculation puts the calculated total energy at -11.271 eV/atom. For the raw formation energy, the calculation gives -0.93 eV/atom. The magnetization is 0.000 μB per atom. The mass density comes out at 15.19 g/cm3.

Entry 10:
Computed, not measured: BeTlI2N after structural relaxation at the PBE-GGA level of DFT.

The structure in extended XYZ format:
```
5
Lattice="6.892 0.000 0.000 0.000 6.892 0.000 0.000 0.000 3.091" Properties=species:S:1:pos:R:3 pbc="T T T"
Be 0.000 0.000 0.000
Tl 3.446 3.446 1.545
I 0.000 3.446 0.000
I 3.446 0.000 0.000
N 0.000 0.000 1.545
```

Results
The distance to the lowest polymorph of the same formula comes out at 0.000 eV per formula unit. The calculation puts the calculated total energy at -3.381 eV/atom. For the raw formation energy, the calculation gives 0.12 eV/atom. The magnetization is 0.187 μB per atom. The mass density comes out at 5.44 g/cm3.

Entry 11:
Computed, not measured: TmFeC after structural relaxation at the PBE-GGA level of DFT.

The structure in extended XYZ format:
```
6
Lattice="4.686 -1.618 0.000 4.686 1.618 0.000 -3.237 0.000 5.156" Properties=species:S:1:pos:R:3 pbc="T T T"
Tm -0.421 0.000 1.717
Tm 6.556 0.000 3.439
Fe -0.115 0.000 4.698
Fe 6.249 0.000 0.458
C 2.105 0.000 1.330
C 4.029 0.000 3.826
```

Results
The distance to the lowest polymorph of the same formula comes out at 0.022 eV per formula unit. The calculation puts the calculated total energy at -7.563 eV/atom. The magnetization is 0.190 μB per atom. The energy relative to the elements is -177 meV/atom. The mass density comes out at 10.06 g/cm3.

Entry 12:
Computed, not measured: La2HgP2 after structural relaxation at the PBE-GGA level of DFT.

The structure in extended XYZ format:
```
10
Lattice="7.990 0.000 0.000 0.000 7.990 0.000 0.000 0.000 3.896" Properties=species:S:1:pos:R:3 pbc="T T T"
La 1.241 2.754 0.000
La 2.754 6.749 0.000
La 5.236 1.241 0.000
La 6.749 5.236 0.000
Hg 0.000 0.000 1.948
Hg 3.995 3.995 1.948
P 1.221 5.216 1.948
P 2.774 1.221 1.948
P 5.216 6.769 1.948
P 6.769 2.774 1.948
```

Results
The distance to the lowest polymorph of the same formula comes out at 0.000 eV per formula unit. The calculation puts the calculated total energy at -5.259 eV/atom. The magnetization is 0.000 μB per atom. The energy relative to the elements is -1064 meV/atom. The mass density comes out at 7.22 g/cm3.

What did the fourth record say?
Computed, not measured: Pm2Er5Tm4 after structural relaxation at the PBE-GGA level of DFT.

The structure in extended XYZ format:
```
11
Lattice="-1.731 4.461 11.526 1.731 -4.461 11.526 1.731 4.461 -11.526" Properties=species:S:1:pos:R:3 pbc="T T T"
Pm 0.000 0.000 5.361
Pm 0.000 0.000 17.692
Er 1.731 2.722 -3.252
Er 1.731 2.722 3.252
Er 0.000 4.461 0.000
Er 0.000 1.739 8.274
Er 0.000 1.739 14.779
Tm 0.000 0.000 2.235
Tm 1.731 1.676 0.000
Tm 0.000 2.784 11.526
Tm 0.000 0.000 20.818
```

Results
The distance to the lowest polymorph of the same formula comes out at 2.031 eV per formula unit. The calculation puts the calculated total energy at -4.356 eV/atom. The magnetization is 0.000 μB per atom. The energy relative to the elements is 208 meV/atom. The mass density comes out at 8.41 g/cm3.

Look up the magnetization of the twelfth one. 0.000 μB per atom

The lowest calculated total energy belongs to which entry? Ta4N3

Repeat the second record exactly.
Computed, not measured: KTa2BW after structural relaxation at the PBE-GGA level of DFT.

The structure in extended XYZ format:
```
5
Lattice="4.647 0.000 0.000 0.000 4.647 0.000 0.000 0.000 4.250" Properties=species:S:1:pos:R:3 pbc="T T T"
K 0.000 0.000 0.000
Ta 0.000 2.324 2.125
Ta 2.324 0.000 2.125
B 2.324 2.324 2.125
W 2.324 2.324 0.000
```

Results
The calculation puts the calculated total energy at -7.751 eV/atom. The magnetization is 0.000 μB per atom. The energy relative to the elements is 1136 meV/atom. The mass density comes out at 10.78 g/cm3.